A plane-wave DFT calculation with PBE with a Hubbard U was carried out for a relaxed structure of TbNpMn2O8.

Unit cell a=4.820 b=4.820 c=6.930 alpha=95.17 beta=95.17 gamma=86.19
Sites, in units of the cell vectors:
Tb: 0.000 0.000 0.000
Np: 0.000 0.000 0.500
Mn: 0.478 0.478 0.777
Mn: 0.522 0.522 0.223
O: 0.201 0.797 0.729
O: 0.203 0.799 0.271
O: 0.282 0.282 0.544
O: 0.322 0.322 0.017
O: 0.678 0.678 0.983
O: 0.718 0.718 0.456
O: 0.797 0.201 0.729
O: 0.799 0.203 0.271

## Properties
E ... -8.294 eV per atom
Crystal system ... monoclinic
SG ... C2/m (12)
M_tot ... 8.0 μB/f.u.